No. 1
BaSc2Mo | PBE | relaxed

```
BaSc2Mo
1.0
0.000 3.635 3.635
3.635 0.000 3.635
3.635 3.635 0.000
Ba Sc Mo
1 2 1
direct
0.000 0.000 0.000
0.500 0.500 0.500
0.750 0.750 0.750
0.250 0.250 0.250
```

Calculated values
raw total energy	-0.2042	Ha/atom
crystal system	cubic
size of the total moment	0.0	μB per formula unit

***

No. 2
Ba2Mo15Se19 | PBE | relaxed

```
Ba2Mo15Se19
1.0
4.948 2.857 19.304
-4.948 2.857 19.304
0.000 -5.714 19.304
Ba Mo Se
4 30 38
direct
0.115 0.115 0.115
0.385 0.385 0.385
0.615 0.615 0.615
0.885 0.885 0.885
0.000 0.126 0.815
0.000 0.874 0.185
0.051 0.359 0.222
0.093 0.250 0.407
0.126 0.815 0.000
0.141 0.449 0.278
0.185 0.000 0.874
0.222 0.051 0.359
0.250 0.407 0.093
0.278 0.141 0.449
0.315 0.626 0.500
0.359 0.222 0.051
0.374 0.500 0.685
0.407 0.093 0.250
0.449 0.278 0.141
0.500 0.315 0.626
0.500 0.685 0.374
0.551 0.722 0.859
0.593 0.907 0.750
0.626 0.500 0.315
0.641 0.778 0.949
0.685 0.374 0.500
0.722 0.859 0.551
0.750 0.593 0.907
0.778 0.949 0.641
0.815 0.000 0.126
0.859 0.551 0.722
0.874 0.185 0.000
0.907 0.750 0.593
0.949 0.641 0.778
0.032 0.688 0.421
0.055 0.055 0.055
0.056 0.444 0.750
0.057 0.301 0.693
0.079 0.812 0.468
0.175 0.175 0.175
0.188 0.532 0.921
0.193 0.801 0.557
0.199 0.443 0.807
0.250 0.944 0.556
0.301 0.693 0.057
0.307 0.943 0.699
0.312 0.579 0.968
0.325 0.325 0.325
0.421 0.032 0.688
0.443 0.807 0.199
0.444 0.750 0.056
0.445 0.445 0.445
0.468 0.079 0.812
0.532 0.921 0.188
0.555 0.555 0.555
0.556 0.250 0.944
0.557 0.193 0.801
0.579 0.968 0.312
0.675 0.675 0.675
0.688 0.421 0.032
0.693 0.057 0.301
0.699 0.307 0.943
0.750 0.056 0.444
0.801 0.557 0.193
0.807 0.199 0.443
0.812 0.468 0.079
0.825 0.825 0.825
0.921 0.188 0.532
0.943 0.699 0.307
0.944 0.556 0.250
0.945 0.945 0.945
0.968 0.312 0.579
```

Calculated values
raw total energy	-0.2633	Ha/atom
crystal system	trigonal
size of the total moment	0.1	μB per formula unit

***

No. 3
BaSiMo | PBE | relaxed

```
BaSiMo
1.0
0.000 3.424 3.424
3.424 0.000 3.424
3.424 3.424 0.000
Ba Si Mo
1 1 1
direct
0.000 0.000 0.000
0.250 0.250 0.250
0.500 0.500 0.500
```

Calculated values
raw total energy	-0.1868	Ha/atom
crystal system	cubic
size of the total moment	1.6	μB per formula unit

***

No. 4
Ba2SnMo | PBE | relaxed

```
Ba2SnMo
1.0
0.000 3.885 3.885
3.885 0.000 3.885
3.885 3.885 0.000
Ba Sn Mo
2 1 1
direct
0.000 0.000 0.000
0.250 0.250 0.250
0.500 0.500 0.500
0.750 0.750 0.750
```

Calculated values
raw total energy	-0.1521	Ha/atom
crystal system	cubic
size of the total moment	4.0	μB per formula unit

***

No. 5
Ba5SnMo5 | PBE | relaxed

```
Ba5SnMo5
1.0
6.114 0.000 0.000
-3.057 5.295 0.000
0.000 0.000 11.128
Ba Sn Mo
5 1 5
direct
0.000 0.000 0.000
0.333 0.667 0.198
0.333 0.667 0.802
0.667 0.333 0.327
0.667 0.333 0.673
0.667 0.333 0.000
0.000 0.000 0.363
0.000 0.000 0.637
0.185 0.369 0.500
0.185 0.815 0.500
0.631 0.815 0.500
```

Calculated values
raw total energy	-0.2115	Ha/atom
crystal system	hexagonal
size of the total moment	1.6	μB per formula unit

***

No. 6
BaTaMo | PBE | relaxed

```
BaTaMo
1.0
0.000 3.366 3.366
3.366 0.000 3.366
3.366 3.366 0.000
Ba Ta Mo
1 1 1
direct
0.000 0.000 0.000
0.250 0.250 0.250
0.750 0.750 0.750
```

Calculated values
crystal system	cubic
polymorph energy (0 for the lowest one)	1156	meV/atom
size of the total moment	1.4	μB per formula unit